## TbSmDy4Tm2 (PBE)

Data for a relaxed TbSmDy4Tm2 crystal.

Output
E_form	0.017	eV/atom
M_tot	0.00	μB per formula unit
calculated volume	501.0	Å³/cell

Cell: 7.093 7.077 9.981 Å, 90.00 90.08 90.00°
Atoms (fractional coordinates):
Tb 0.000 0.000 0.000
Tb 0.000 0.500 0.000
Sm 0.000 0.000 0.500
Sm 0.500 0.000 0.000
Dy 0.251 0.251 0.251
Dy 0.251 0.251 0.749
Dy 0.251 0.749 0.251
Dy 0.251 0.749 0.749
Dy 0.749 0.251 0.251
Dy 0.749 0.251 0.749
Dy 0.749 0.749 0.251
Dy 0.749 0.749 0.749
Tm 0.000 0.500 0.500
Tm 0.500 0.000 0.500
Tm 0.500 0.500 0.000
Tm 0.500 0.500 0.500